# 1
The following is a DFT calculation (PBE) of a geometry-optimized Ho2Er5Sc5 structure.

- ΔE_f (eV per formula unit) = 0.60
- relative energy among the computed polymorphs (meV/atom) = 0

Cell lengths 14.448, 4.809, 10.790 Å; angles 90.00, 116.51, 90.00 degrees
Space group C2/m (No. 12)
One atom of each set of equivalent atoms:
Ho  0.083  0.000  0.246 [4 per cell]
Er  0.000  0.500  0.000 [2 per cell]
Er  0.087  0.500  0.752 [4 per cell]
Er  0.165  0.500  0.499 [4 per cell]
Sc  0.000  0.000  0.500 [2 per cell]
Sc  0.171  0.000  0.001 [4 per cell]
Sc  0.250  0.000  0.753 [4 per cell]

***

# 2
The following is a DFT calculation (PBE) of a geometry-optimized Ho12ErSc7 structure.

- ΔE_f (eV per formula unit) = 13.84
- relative energy among the computed polymorphs (meV/atom) = 520

Cell lengths 10.901, 10.901, 10.901 Å; angles 90.00, 90.00, 90.00 degrees
Space group Im-3m (No. 229)
One atom of each set of equivalent atoms:
Ho  0.000  0.258  0.258 [24 per cell]
Er  0.000  0.000  0.000 [2 per cell]
Sc  0.000  0.000  0.500 [6 per cell]
Sc  0.250  0.250  0.250 [8 per cell]

***

# 3
The following is a DFT calculation (PBE) of a geometry-optimized HoEr2Sc7 structure.

- ΔE_f (eV per formula unit) = 6.14

Cell lengths 7.444, 17.149, 4.965 Å; angles 90.00, 90.00, 90.00 degrees
Space group Cmmm (No. 65)
One atom of each set of equivalent atoms:
Ho  0.000  0.000  0.000 [2 per cell]
Er  0.000  0.264  0.500 [4 per cell]
Sc  0.000  0.408  0.000 [4 per cell]
Sc  0.000  0.500  0.500 [2 per cell]
Sc  0.196  0.096  0.500 [8 per cell]

***

# 4
The following is a DFT calculation (PBE) of a geometry-optimized Ho12Er5Sc structure.

- ΔE_f (eV per formula unit) = 2.30

Cell lengths 11.008, 17.392, 5.788 Å; angles 90.00, 90.03, 90.00 degrees
Space group C2/m (No. 12)
One atom of each set of equivalent atoms:
Ho  0.157  0.000  0.499 [4 per cell]
Ho  0.159  0.500  0.001 [4 per cell]
Ho  0.165  0.159  0.001 [8 per cell]
Ho  0.168  0.337  0.499 [8 per cell]
Er  0.000  0.172  0.500 [4 per cell]
Er  0.000  0.328  0.000 [4 per cell]
Er  0.000  0.500  0.500 [2 per cell]
Sc  0.000  0.000  0.000 [2 per cell]

***

# 5
The following is a DFT calculation (PBE) of a geometry-optimized Ho12ErSc6 structure.

- ΔE_f (eV per formula unit) = 2.35
- relative energy among the computed polymorphs (meV/atom) = 0

Cell lengths 9.113, 15.782, 8.573 Å; angles 90.00, 115.95, 90.00 degrees
Space group C2/m (No. 12)
One atom of each set of equivalent atoms:
Ho  0.000  0.196  0.000 [4 per cell]
Ho  0.012  0.500  0.702 [4 per cell]
Ho  0.215  0.393  0.096 [8 per cell]
Ho  0.220  0.147  0.480 [8 per cell]
Er  0.000  0.000  0.500 [2 per cell]
Sc  0.085  0.286  0.714 [8 per cell]
Sc  0.104  0.000  0.177 [4 per cell]

***

# 6
The following is a DFT calculation (PBE) of a geometry-optimized Ho3Er3Sc2 structure.

- ΔE_f (eV per formula unit) = 2.01
- relative energy among the computed polymorphs (meV/atom) = 160

Cell lengths 8.8641, 8.8641, 10.8535 Å; angles 90.00, 90.00, 120.00 degrees
Space group R32 (No. 155, hexagonal axes)
One atom of each set of equivalent atoms:
Ho  0.0000  0.2509  0.0000 [9 per cell]
Er  0.0000  0.7508  0.5000 [9 per cell]
Sc  0.0000  0.0000  0.2504 [6 per cell]

***

Number 1: magnetization 0.00 μB/f.u.. Number 2: magnetization 0.00 μB/f.u.. Number 3: magnetization 0.00 μB/f.u.. Number 4: magnetization 0.00 μB/f.u.. Number 5: magnetization 0.00 μB/f.u.. Number 6: magnetization 7.12 μB/f.u..